Record 1
HoGeB4: relaxed, PBE.

It has space group P6/mmm (No. 191), with a = 3.1709 Å, b = 3.1709 Å, c = 7.7499 Å, α = 90.00°, β = 90.00° and γ = 120.00°. The distinct sites, in fractional coordinates, are Ho at (0.0000, 0.0000, 0.0000), Ge at (0.0000, 0.0000, 0.5000) and B at (0.3333, 0.6667, 0.2495).

As for the total energy: -35.80 eV for the cell shown. The mass density comes out at 6.91 g/cm3.

---

Record 2
LaPr2Mg3TlIn2: relaxed, PBE.

It has space group Amm2 (No. 38), with a = 4.8052 Å, b = 13.4946 Å, c = 7.7720 Å, α = 90.00°, β = 90.00° and γ = 90.00°. The distinct sites, in fractional coordinates, are La at (0.0000, 0.0000, 0.0000), Pr at (0.0000, 0.2137, 0.6432), Mg at (0.5000, 0.0000, 0.6715), Mg at (0.5000, 0.1213, 0.3086), Tl at (0.0000, 0.0000, 0.4302) and In at (0.5000, 0.1674, 0.9295).

As for the total energy: -61.23 eV for the cell shown. The mass density comes out at 6.11 g/cm3.

---

Record 3
Dy3Ho3ReTe2: relaxed, PBE.

It has space group P-62m (No. 189), with a = 8.2631 Å, b = 8.2631 Å, c = 4.1219 Å, α = 90.00°, β = 90.00° and γ = 120.00°. The distinct sites, in fractional coordinates, are Dy at (0.0000, 0.2383, 0.0000), Ho at (0.0000, 0.6105, 0.5000), Re at (0.0000, 0.0000, 0.5000) and Te at (0.3333, 0.6667, 0.0000).

As for the total energy: -51.74 eV for the cell shown. The mass density comes out at 9.70 g/cm3.

---

> mass density of number 1 (HoGeB4)?

6.91 g/cm3

---

> Among the records above, which one has the highest mass density?

Dy3Ho3ReTe2